# 1
Here is a relaxed structure of AcLaNdTm from Alexandria. Energies are from GGA-PBE.

Calculated values
The distance to the lowest polymorph of the same formula comes out at 0 meV per atom. The value obtained for the total moment is 0.000 μB/f.u. As for the formation energy: 0.3 eV/f.u. For the total energy, the calculation gives -4.51 eV/atom. Its volume is 147.2 Å³/cell.

a b c (Å): 3.7587 3.7587 12.0324
angles (deg): 90.00 90.00 120.00
Last column: nearest neighbours and their distance in Å.
Sites, in units of the cell vectors:
Tm 0.6667 0.3333 0.6699  3 La 3.60, 3 Ac 3.70, 6 Tm 3.76
La 0.0000 0.0000 0.4307  3 Tm 3.60, 3 Nd 3.72, 6 La 3.76
Nd 0.6667 0.3333 0.1797  3 La 3.72, 6 Nd 3.76, 3 Ac 3.81
Ac 0.3333 0.6667 0.9191  3 Tm 3.70, 6 Ac 3.76, 3 Nd 3.81

=====

# 2
Here is a relaxed structure of Ac6PrPb10 from Alexandria. Energies are from GGA-PBE.

Calculated values
The value obtained for the total moment is 0.000 μB/f.u. As for the formation energy: -6.8 eV/f.u. For the total energy, the calculation gives -4.31 eV/atom. Its volume is 602.2 Å³/cell.

a b c (Å): 6.8675 10.0624 10.0624
angles (deg): 120.00 90.00 90.00
Last column: nearest neighbours and their distance in Å.
Sites, in units of the cell vectors:
Ac 0.2633 0.6155 0.6155  9 Pb 3.45-3.81
Ac 0.7367 0.3845 0.3845  9 Pb 3.45-3.81
Ac 0.2633 0.0000 0.3845  9 Pb 3.45-3.81
Ac 0.7367 0.0000 0.6155  9 Pb 3.45-3.81
Ac 0.7367 0.6155 0.0000  9 Pb 3.45-3.81
Ac 0.2633 0.3845 0.0000  9 Pb 3.45-3.81
Pb 0.5000 0.6667 0.3333  2 Pb 3.43, 6 Ac 3.53
Pb 0.2105 0.0000 0.7347  1 Pr 3.33, 4 Ac 3.45-3.54
Pb 0.7895 0.7347 0.7347  1 Pr 3.33, 4 Ac 3.45-3.54
Pb 0.2105 0.7347 0.0000  1 Pr 3.33, 4 Ac 3.45-3.54
Pb 0.0000 0.6667 0.3333  2 Pb 3.43, 6 Ac 3.61
Pb 0.0000 0.3333 0.6667  2 Pb 3.43, 6 Ac 3.61
Pb 0.2105 0.2653 0.2653  1 Pr 3.33, 4 Ac 3.45-3.54
Pb 0.7895 0.0000 0.2653  1 Pr 3.33, 4 Ac 3.45-3.54
Pb 0.7895 0.2653 0.0000  1 Pr 3.33, 4 Ac 3.45-3.54
Pb 0.5000 0.3333 0.6667  2 Pb 3.43, 6 Ac 3.53
Pr 0.5000 0.0000 0.0000  6 Pb 3.33

=====

# 3
Here is a relaxed structure of BaSc2Be from Alexandria. Energies are from GGA-PBE.

Calculated values
The value obtained for the total moment is 0.000 μB/f.u. As for the formation energy: 1.6 eV/f.u. For the total energy, the calculation gives -4.18 eV/atom. Its volume is 109.5 Å³/cell.

a b c (Å): 10.0136 10.0136 10.0136
angles (deg): 20.67 20.67 20.67
Last column: nearest neighbours and their distance in Å.
Sites, in units of the cell vectors:
Sc 0.4715 0.4715 0.4715  3 Be 2.63
Sc 0.0285 0.0285 0.0285  3 Be 2.63
Ba 0.2500 0.2500 0.2500  6 Ba 3.59, 6 Sc 3.89
Be 0.7500 0.7500 0.7500  6 Sc 2.63

=====

# 4
Here is a relaxed structure of KGaSn from Alexandria. Energies are from GGA-PBE.

Calculated values
The value obtained for the total moment is 0.000 μB/f.u. As for the formation energy: 0.0 eV/f.u. For the total energy, the calculation gives -2.70 eV/atom. Its volume is 214.5 Å³/cell.

a b c (Å): 5.8006 5.8006 6.6010
angles (deg): 90.00 90.00 105.00
Last column: nearest neighbours and their distance in Å.
Sites, in units of the cell vectors:
K 0.8723 0.1277 0.7500  5 Sn 3.57-3.72, 2 Ga 3.80
K 0.1277 0.8723 0.2500  5 Sn 3.57-3.72, 2 Ga 3.80
Sn 0.2762 0.7238 0.7500  2 Ga 2.64
Sn 0.7238 0.2762 0.2500  2 Ga 2.64
Ga 0.5000 0.5000 0.5000  2 Sn 2.64
Ga 0.5000 0.5000 0.0000  2 Sn 2.64

=====

# 5
Here is a relaxed structure of NdScO3 from Alexandria. Energies are from GGA-PBE.

Calculated values
The calculation puts the uncorrected formation energy at -3.162 eV per atom. The value obtained for the total moment is 0.000 μB/f.u. For the total energy, the calculation gives -8.36 eV/atom. Its volume is 143.8 Å³/cell.

a b c (Å): 3.4526 6.1888 7.0075
angles (deg): 90.00 90.00 106.19
Last column: nearest neighbours and their distance in Å.
Sites, in units of the cell vectors:
Nd 0.7629 0.0258 0.7500  8 O 2.42-2.69
Nd 0.2371 0.9742 0.2500  8 O 2.42-2.69
O 0.8445 0.1891 0.4340  1 Sc 2.00
O 0.5630 0.6264 0.2500  2 Sc 2.03
O 0.4370 0.3736 0.7500  2 Sc 2.03
O 0.8445 0.1891 0.0660  1 Sc 2.00
O 0.1555 0.8109 0.5660  1 Sc 2.00
O 0.1555 0.8109 0.9340  1 Sc 2.00
Sc 0.0269 0.5535 0.7500  4 O 2.00-2.03
Sc 0.9731 0.4465 0.2500  4 O 2.00-2.03